Record 1
Density functional theory data (PBE-GGA) for a geometry-optimized SrGaH4I structure.

```
SrGaH4I
1.0
6.462 -3.038 0.000
6.462 3.038 0.000
-0.550 0.000 6.661
Sr Ga H I
2 2 8 2
Direct
0.215 0.215 0.236 Sr
0.785 0.785 0.764 Sr
0.094 0.094 0.772 Ga
0.906 0.906 0.228 Ga
0.026 0.026 0.189 H
0.056 0.641 0.108 H
0.113 0.113 0.543 H
0.359 0.944 0.892 H
0.641 0.056 0.108 H
0.887 0.887 0.457 H
0.944 0.359 0.892 H
0.974 0.974 0.811 H
0.370 0.370 0.658 I
0.630 0.630 0.342 I
```

Properties
- Total magnetic moment: 0.0 μB per cell
- Raw total energy: -3.28 eV/atom

=====

Record 2
Density functional theory data (PBE-GGA) for a geometry-optimized Ga2HWI structure.

```
Ga2HWI
1.0
5.506 0.000 0.000
0.000 5.506 0.000
0.000 0.000 3.322
Ga H W I
2 1 1 1
Direct
0.000 0.500 0.000 Ga
0.500 0.000 0.000 Ga
0.000 0.000 0.500 H
0.500 0.500 0.500 W
0.000 0.000 0.000 I
```

Properties
- Total magnetic moment: 1.4 μB per cell
- Raw total energy: -3.38 eV/atom